# 1
{
  "formula": "Sm2Pd2Pb",
  "functional": "SCAN",
  "state": "PBEsol geometry",
  "volume_a3_per_cell": 226,
  "ef_ev_per_fu": -4.74,
  "lattice": [[-2.657, -1.476, 2.150], [0.790, -6.809, -3.697], [5.399, -2.182, 5.172]],
  "species": ["Sm", "Sm", "Sm", "Sm", "Pd", "Pd", "Pd", "Pd", "Pb", "Pb"],
  "fractional_positions": [[0.500, 0.325, 0.825], [0.500, 0.675, 0.175], [0.500, 0.825, 0.675], [0.500, 0.175, 0.325], [0.000, 0.125, 0.625], [0.000, 0.375, 0.125], [0.000, 0.875, 0.375], [0.000, 0.625, 0.875], [0.000, 0.000, 0.000], [0.000, 0.500, 0.500]]
}



# 2
{
  "formula": "SmPd2Pb",
  "functional": "SCAN",
  "state": "PBEsol geometry",
  "volume_a3_per_cell": 80,
  "ef_ev_per_fu": -2.91,
  "lattice": [[4.837, 0.000, 0.000], [2.419, 4.189, 0.000], [2.419, 1.396, 3.950]],
  "species": ["Pb", "Sm", "Pd", "Pd"],
  "fractional_positions": [[0.000, 0.000, 0.000], [0.500, 0.500, 0.500], [0.250, 0.250, 0.250], [0.750, 0.750, 0.750]]
}



# 3
{
  "formula": "TaPdPb3",
  "functional": "SCAN",
  "state": "PBEsol geometry",
  "volume_a3_per_cell": 139,
  "ef_ev_per_fu": 5.35,
  "lattice": [[-2.447, -4.507, 0.763], [4.551, -2.321, 0.888], [-0.430, 1.089, 5.052]],
  "species": ["Pb", "Pb", "Pb", "Pd", "Ta"],
  "fractional_positions": [[0.000, 0.500, 0.000], [0.000, 0.000, 0.500], [0.500, 0.000, 0.000], [0.000, 0.000, 0.000], [0.500, 0.500, 0.500]]
}



# 4
{
  "formula": "Ta3PdPb",
  "functional": "SCAN",
  "state": "PBEsol geometry",
  "volume_a3_per_cell": 125,
  "ef_ev_per_fu": 12.68,
  "lattice": [[5.000, 0.000, 0.000], [0.000, 5.000, 0.000], [0.000, 0.000, 5.000]],
  "species": ["Pb", "Pd", "Ta", "Ta", "Ta"],
  "fractional_positions": [[0.000, 0.000, 0.000], [0.500, 0.500, 0.500], [0.000, 0.500, 0.000], [0.000, 0.000, 0.500], [0.500, 0.000, 0.000]]
}



# 5
{
  "formula": "TaPdPb3",
  "functional": "SCAN",
  "state": "PBEsol geometry",
  "volume_a3_per_cell": 155,
  "ef_ev_per_fu": 3.89,
  "lattice": [[5.368, 0.000, 0.000], [0.000, 5.368, 0.000], [0.000, 0.000, 5.368]],
  "species": ["Pb", "Pb", "Pb", "Pd", "Ta"],
  "fractional_positions": [[0.000, 0.500, 0.000], [0.000, 0.000, 0.500], [0.500, 0.000, 0.000], [0.500, 0.500, 0.500], [0.000, 0.000, 0.000]]
}



# 6
{
  "formula": "TbPd2Pb",
  "functional": "SCAN",
  "state": "PBEsol geometry",
  "volume_a3_per_cell": 78,
  "ef_ev_per_fu": -3.02,
  "lattice": [[-4.515, 1.162, 1.105], [-3.622, -1.670, -2.654], [-2.956, -3.315, 1.796]],
  "species": ["Pb", "Tb", "Pd", "Pd"],
  "fractional_positions": [[0.000, 0.000, 0.000], [0.500, 0.500, 0.500], [0.250, 0.250, 0.250], [0.750, 0.750, 0.750]]
}



# 7
{
  "formula": "TcPd3Pb",
  "functional": "SCAN",
  "state": "PBEsol geometry",
  "volume_a3_per_cell": 118,
  "ef_ev_per_fu": 6.55,
  "lattice": [[-4.005, -1.171, 2.576], [-1.213, -3.323, -3.397], [2.557, -3.411, 2.424]],
  "species": ["Pb", "Tc", "Pd", "Pd", "Pd"],
  "fractional_positions": [[0.000, 0.000, 0.000], [0.500, 0.500, 0.500], [0.000, 0.500, 0.000], [0.000, 0.000, 0.500], [0.500, 0.000, 0.000]]
}



# 8
{
  "formula": "Te2PdPb",
  "functional": "SCAN",
  "state": "PBEsol geometry",
  "volume_a3_per_cell": 102,
  "e_form_raw_kcal_per_mol_atoms": 3.4,
  "lattice": [[3.238, 0.000, 0.000], [1.619, 2.804, 0.000], [1.619, 0.935, 11.232]],
  "species": ["Pb", "Te", "Te", "Pd"],
  "fractional_positions": [[0.500, 0.500, 0.500], [0.076, 0.076, 0.773], [0.924, 0.924, 0.227], [0.000, 0.000, 0.000]]
}



# 9
{
  "formula": "Te2Pd3Pb2",
  "functional": "SCAN",
  "state": "PBEsol geometry",
  "volume_a3_per_cell": 320,
  "e_form_raw_kcal_per_mol_atoms": -8.8,
  "lattice": [[5.905, 0.000, 0.000], [0.000, 6.349, 0.000], [0.000, 0.000, 8.527]],
  "species": ["Te", "Te", "Te", "Te", "Pd", "Pd", "Pd", "Pd", "Pd", "Pd", "Pb", "Pb", "Pb", "Pb"],
  "fractional_positions": [[0.000, 0.334, 0.707], [0.500, 0.666, 0.207], [0.000, 0.334, 0.293], [0.500, 0.666, 0.793], [0.250, 0.000, 0.750], [0.500, 0.793, 0.500], [0.250, 0.000, 0.250], [0.750, 0.000, 0.750], [0.750, 0.000, 0.250], [0.000, 0.207, 0.000], [0.000, 0.742, 0.000], [0.500, 0.258, 0.500], [0.000, 0.802, 0.500], [0.500, 0.198, 0.000]]
}



# 10
{
  "formula": "TiPd3Pb",
  "functional": "SCAN",
  "state": "PBEsol geometry",
  "volume_a3_per_cell": 118,
  "ef_ev_per_fu": 4.13,
  "lattice": [[4.906, 0.000, 0.000], [0.000, 4.906, 0.000], [0.000, 0.000, 4.906]],
  "species": ["Pb", "Pd", "Pd", "Pd", "Ti"],
  "fractional_positions": [[0.000, 0.000, 0.000], [0.000, 0.500, 0.000], [0.000, 0.000, 0.500], [0.500, 0.000, 0.000], [0.500, 0.500, 0.500]]
}



# 11
{
  "formula": "TlPdPb",
  "functional": "SCAN",
  "state": "PBEsol geometry",
  "volume_a3_per_cell": 133,
  "ef_ev_per_fu": -0.48,
  "lattice": [[5.516, -0.049, 0.000], [-2.396, 4.968, 0.000], [-1.560, -2.459, 4.857]],
  "species": ["Tl", "Tl", "Pd", "Pd", "Pb", "Pb"],
  "fractional_positions": [[0.334, 0.666, 0.000], [0.666, 0.334, 0.000], [0.750, 0.250, 0.500], [0.250, 0.750, 0.500], [0.162, 0.162, 0.323], [0.838, 0.838, 0.677]]
}



# 12
{
  "formula": "Tl4Pd15Pb",
  "functional": "SCAN",
  "state": "PBEsol geometry",
  "volume_a3_per_cell": 323,
  "ef_ev_per_fu": -3.86,
  "lattice": [[4.011, 0.000, 0.000], [0.000, 4.011, 0.000], [0.000, 0.000, 20.052]],
  "species": ["Tl", "Tl", "Tl", "Tl", "Pd", "Pd", "Pd", "Pd", "Pd", "Pd", "Pd", "Pd", "Pd", "Pd", "Pd", "Pd", "Pd", "Pd", "Pd", "Pb"],
  "fractional_positions": [[0.000, 0.000, 0.201], [0.000, 0.000, 0.400], [0.000, 0.000, 0.600], [0.000, 0.000, 0.799], [0.500, 0.500, 0.000], [0.500, 0.500, 0.200], [0.500, 0.500, 0.400], [0.500, 0.500, 0.600], [0.500, 0.500, 0.800], [0.500, 0.000, 0.101], [0.500, 0.000, 0.301], [0.500, 0.000, 0.500], [0.500, 0.000, 0.699], [0.500, 0.000, 0.899], [0.000, 0.500, 0.101], [0.000, 0.500, 0.301], [0.000, 0.500, 0.500], [0.000, 0.500, 0.699], [0.000, 0.500, 0.899], [0.000, 0.000, 0.000]]
}



# 13
{
  "formula": "PdPbW3",
  "functional": "SCAN",
  "state": "PBEsol geometry",
  "volume_a3_per_cell": 116,
  "ef_ev_per_fu": 17.53,
  "lattice": [[-4.323, 1.433, -1.758], [-1.895, -0.201, 4.495], [1.247, 4.663, 0.734]],
  "species": ["Pb", "Pd", "W", "W", "W"],
  "fractional_positions": [[0.000, 0.000, 0.000], [0.500, 0.500, 0.500], [0.000, 0.500, 0.000], [0.000, 0.000, 0.500], [0.500, 0.000, 0.000]]
}



# 14
{
  "formula": "ZnPdPbW2",
  "functional": "SCAN",
  "state": "PBEsol geometry",
  "volume_a3_per_cell": 105,
  "ef_ev_per_fu": 8.37,
  "lattice": [[-2.118, 3.900, 1.132], [-1.211, 0.674, -4.587], [-4.073, -2.421, 0.720]],
  "species": ["Pb", "Zn", "Pd", "W", "W"],
  "fractional_positions": [[0.500, 0.500, 0.500], [0.500, 0.000, 0.000], [0.000, 0.000, 0.000], [0.000, 0.000, 0.500], [0.000, 0.500, 0.000]]
}



# 15
{
  "formula": "Y2Pd2Pb",
  "functional": "SCAN",
  "state": "PBEsol geometry",
  "volume_a3_per_cell": 217,
  "ef_ev_per_fu": -4.93,
  "lattice": [[-1.122, -0.353, 3.419], [3.909, -6.651, 0.597], [6.231, 3.882, 2.446]],
  "species": ["Pb", "Pb", "Y", "Y", "Y", "Y", "Pd", "Pd", "Pd", "Pd"],
  "fractional_positions": [[0.000, 0.000, 0.000], [0.000, 0.500, 0.500], [0.500, 0.173, 0.673], [0.500, 0.673, 0.827], [0.500, 0.827, 0.327], [0.500, 0.327, 0.173], [0.000, 0.375, 0.875], [0.000, 0.875, 0.625], [0.000, 0.625, 0.125], [0.000, 0.125, 0.375]]
}



# 16
{
  "formula": "Y3PdPb",
  "functional": "SCAN",
  "state": "PBEsol geometry",
  "volume_a3_per_cell": 149,
  "ef_ev_per_fu": -2.57,
  "lattice": [[-2.119, -0.666, 4.818], [-2.606, -4.283, -1.738], [4.108, -3.060, 1.383]],
  "species": ["Pb", "Y", "Y", "Y", "Pd"],
  "fractional_positions": [[0.500, 0.500, 0.500], [0.000, 0.500, 0.000], [0.000, 0.000, 0.500], [0.500, 0.000, 0.000], [0.000, 0.000, 0.000]]
}



# 17
{
  "formula": "ZrPd2Pb2",
  "functional": "SCAN",
  "state": "PBEsol geometry",
  "volume_a3_per_cell": 105,
  "ef_ev_per_fu": -0.20,
  "lattice": [[-2.379, 2.149, 2.455], [-1.875, -3.387, 1.148], [6.390, -0.121, 2.977]],
  "species": ["Pb", "Pb", "Zr", "Pd", "Pd"],
  "fractional_positions": [[0.388, 0.388, 0.777], [0.612, 0.612, 0.223], [0.000, 0.000, 0.000], [0.250, 0.750, 0.500], [0.750, 0.250, 0.500]]
}



# 18
{
  "formula": "Pm3Pb",
  "functional": "SCAN",
  "state": "PBEsol geometry",
  "volume_a3_per_cell": 115,
  "ef_ev_per_fu": -1.97,
  "lattice": [[4.865, 0.000, 0.000], [0.000, 4.865, 0.000], [0.000, 0.000, 4.865]],
  "species": ["Pb", "Pm", "Pm", "Pm"],
  "fractional_positions": [[0.500, 0.500, 0.500], [0.500, 0.000, 0.000], [0.000, 0.000, 0.500], [0.000, 0.500, 0.000]]
}



# 19
{
  "formula": "Pm2ZnPb",
  "functional": "SCAN",
  "state": "PBEsol geometry",
  "volume_a3_per_cell": 104,
  "ef_ev_per_fu": -2.29,
  "lattice": [[-3.277, -3.178, -2.638], [1.435, -1.972, -4.674], [1.112, -5.133, -0.466]],
  "species": ["Pb", "Zn", "Pm", "Pm"],
  "fractional_positions": [[0.000, 0.000, 0.000], [0.500, 0.500, 0.500], [0.750, 0.750, 0.750], [0.250, 0.250, 0.250]]
}



# 20
{
  "formula": "PrPb3",
  "functional": "SCAN",
  "state": "PBEsol geometry",
  "volume_a3_per_cell": 114,
  "ef_ev_per_fu": -2.19,
  "lattice": [[4.849, 0.000, 0.000], [0.000, 4.849, 0.000], [0.000, 0.000, 4.849]],
  "species": ["Pb", "Pb", "Pb", "Pr"],
  "fractional_positions": [[0.000, 0.500, 0.500], [0.500, 0.500, 0.000], [0.500, 0.000, 0.500], [0.000, 0.000, 0.000]]
}



# 21
{
  "formula": "Pr3Pb",
  "functional": "SCAN",
  "state": "PBEsol geometry",
  "volume_a3_per_cell": 120,
  "ef_ev_per_fu": -2.02,
  "lattice": [[4.935, 0.000, 0.000], [0.000, 4.935, 0.000], [0.000, 0.000, 4.935]],
  "species": ["Pb", "Pr", "Pr", "Pr"],
  "fractional_positions": [[0.000, 0.000, 0.000], [0.500, 0.000, 0.500], [0.000, 0.500, 0.500], [0.500, 0.500, 0.000]]
}



# 22
{
  "formula": "Pr5Pb3",
  "functional": "SCAN",
  "state": "PBEsol geometry",
  "volume_a3_per_cell": 515,
  "ef_ev_per_fu": -6.35,
  "lattice": [[6.807, 0.000, 0.000], [0.000, 9.343, 0.000], [0.000, -4.671, 8.091]],
  "species": ["Pr", "Pr", "Pr", "Pr", "Pr", "Pr", "Pr", "Pr", "Pr", "Pr", "Pb", "Pb", "Pb", "Pb", "Pb", "Pb"],
  "fractional_positions": [[0.500, 0.667, 0.333], [0.500, 0.333, 0.667], [0.000, 0.333, 0.667], [0.000, 0.667, 0.333], [0.750, 0.241, 0.241], [0.750, 0.000, 0.759], [0.750, 0.759, 0.000], [0.250, 0.759, 0.759], [0.250, 0.000, 0.241], [0.250, 0.241, 0.000], [0.750, 0.606, 0.606], [0.750, 0.000, 0.394], [0.750, 0.394, 0.000], [0.250, 0.394, 0.394], [0.250, 0.000, 0.606], [0.250, 0.606, 0.000]]
}



# 23
{
  "formula": "Pr5Pb4",
  "functional": "SCAN",
  "state": "PBEsol geometry",
  "volume_a3_per_cell": 1135,
  "ef_ev_per_fu": -7.87,
  "lattice": [[8.349, 0.000, 0.000], [0.000, 8.511, 0.000], [0.000, 0.000, 15.968]],
  "species": ["Pr", "Pr", "Pr", "Pr", "Pr", "Pr", "Pr", "Pr", "Pr", "Pr", "Pr", "Pr", "Pr", "Pr", "Pr", "Pr", "Pr", "Pr", "Pr", "Pr", "Pb", "Pb", "Pb", "Pb", "Pb", "Pb", "Pb", "Pb", "Pb", "Pb", "Pb", "Pb", "Pb", "Pb", "Pb", "Pb"],
  "fractional_positions": [[0.369, 0.840, 0.620], [0.869, 0.660, 0.880], [0.631, 0.160, 0.120], [0.131, 0.340, 0.380], [0.631, 0.160, 0.380], [0.131, 0.340, 0.120], [0.369, 0.840, 0.880], [0.869, 0.660, 0.620], [0.519, 0.320, 0.599], [0.019, 0.180, 0.901], [0.481, 0.680, 0.099], [0.981, 0.820, 0.401], [0.481, 0.680, 0.401], [0.981, 0.820, 0.099], [0.519, 0.320, 0.901], [0.019, 0.180, 0.599], [0.199, 0.502, 0.750], [0.699, 0.998, 0.750], [0.801, 0.498, 0.250], [0.301, 0.002, 0.250], [0.289, 0.038, 0.458], [0.789, 0.462, 0.042], [0.711, 0.962, 0.958], [0.211, 0.538, 0.542], [0.711, 0.962, 0.542], [0.211, 0.538, 0.958], [0.289, 0.038, 0.042], [0.789, 0.462, 0.458], [0.565, 0.618, 0.750], [0.065, 0.882, 0.750], [0.435, 0.382, 0.250], [0.935, 0.118, 0.250], [0.327, 0.147, 0.750], [0.827, 0.353, 0.750], [0.673, 0.853, 0.250], [0.173, 0.647, 0.250]]
}



# 24
{
  "formula": "Pr2PbS4",
  "functional": "SCAN",
  "state": "PBEsol geometry",
  "volume_a3_per_cell": 318,
  "e_form_raw_kcal_per_mol_atoms": -42.2,
  "lattice": [[-5.739, -3.533, -3.169], [3.331, -4.534, 4.879], [-2.475, 6.064, 3.544]],
  "species": ["Pr", "Pr", "Pr", "Pr", "Pb", "Pb", "S", "S", "S", "S", "S", "S", "S", "S"],
  "fractional_positions": [[0.625, 0.008, 0.883], [0.258, 0.375, 0.383], [0.125, 0.742, 0.117], [0.992, 0.875, 0.617], [0.750, 0.250, 0.500], [0.500, 0.500, 0.000], [0.885, 0.479, 0.252], [0.883, 0.976, 0.248], [0.521, 0.774, 0.407], [0.367, 0.115, 0.593], [0.729, 0.635, 0.752], [0.365, 0.117, 0.093], [0.024, 0.271, 0.907], [0.226, 0.633, 0.748]]
}